[1]
Crystalline V2GaFe2 at its relaxed geometry, computed with GGA-PBE.

a b c (Å): 4.021 4.021 4.755
angles (deg): 90.00 90.00 120.00
Atoms (fractional coordinates):
1 Ga 0.000 0.000 0.000
2 Fe 0.667 0.333 0.812
3 Fe 0.333 0.667 0.188
4 V 0.667 0.333 0.338
5 V 0.333 0.667 0.662

Values from the calculation:
calculated volume: 66.59 Å³ per cell
M_tot: 0.0 μB/cell
E: -38.40 eV for the cell shown
energy relative to the elements: -43 meV per atom
symmetry: P-3m1, No. 164



[2]
Crystalline VGa2Fe at its relaxed geometry, computed with GGA-PBE.

a b c (Å): 2.760 2.760 8.600
angles (deg): 80.76 80.76 60.00
Atoms (fractional coordinates):
1 V 0.666 0.666 0.001
2 Ga 0.248 0.248 0.257
3 Ga 0.086 0.086 0.743
4 Fe 0.500 0.500 0.499

Values from the calculation:
calculated volume: 55.76 Å³ per cell
M_tot: 2.7 μB/cell
E: -23.89 eV for the cell shown
energy relative to the elements: -63 meV per atom
symmetry: R3m, No. 160



[3]
Crystalline V2GaFe at its relaxed geometry, computed with GGA-PBE.

a b c (Å): 3.111 3.111 5.430
angles (deg): 90.00 90.00 90.00
Atoms (fractional coordinates):
1 V 0.000 0.000 0.772
2 V 0.000 0.000 0.228
3 Fe 0.500 0.500 0.000
4 Ga 0.500 0.500 0.500

Values from the calculation:
calculated volume: 52.56 Å³ per cell
M_tot: 1.1 μB/cell
E: -30.06 eV for the cell shown
energy relative to the elements: -84 meV per atom
symmetry: P4/mmm, No. 123



[4]
Crystalline V2GaFe8 at its relaxed geometry, computed with GGA-PBE.

a b c (Å): 4.002 5.781 6.880
angles (deg): 114.84 106.91 90.00
Atoms (fractional coordinates):
1 Fe 0.000 0.275 0.000
2 Fe 0.837 0.837 0.675
3 Fe 0.661 0.896 0.322
4 Fe 0.000 0.725 0.000
5 Fe 0.163 0.163 0.325
6 Fe 0.339 0.104 0.678
7 Fe 0.339 0.574 0.678
8 Fe 0.661 0.426 0.322
9 Ga 0.500 0.000 0.000
10 V 0.823 0.323 0.646
11 V 0.177 0.677 0.354

Values from the calculation:
calculated volume: 136.82 Å³ per cell
M_tot: 14.0 μB/cell
E: -88.31 eV for the cell shown
energy relative to the elements: 60 meV per atom
symmetry: Immm, No. 71